1.
Here is a relaxed structure of PrNd4Sm5 from the Alexandria database. Energies are from PBE.

Summary:
Polymorph energy (0 for the lowest one) in eV/atom: 0.000
ΔE_f in eV per formula unit: 1.74
Magnetic moment in μB/f.u.: 0.0

Lattice parameters (Å, degrees): 3.6047 8.9697 11.3274 89.90 89.93 78.72
Closest atoms and distances in Å follow each position.
Space group P-1 (No. 2)
Inequivalent atoms, fractional coordinates:
Pr 0.0000 0.0000 0.0000  4 Nd 3.40-3.42, 2 Pr 3.60, 4 Sm 3.61-3.63
Nd 0.1518 0.6934 0.2499  4 Nd 3.60-3.69, 7 Sm 3.74-3.93, 1 Pr 3.91
Nd 0.4746 0.0596 0.2514  4 Sm 3.37-3.39, 2 Pr 3.40-3.42, 4 Nd 3.60-3.69
Sm 0.0000 0.0000 0.5000  4 Nd 3.38-3.39, 6 Sm 3.59-3.61
Sm 0.3243 0.3493 0.0562  2 Nd 3.37-3.74, 4 Sm 3.44-3.60, 2 Pr 3.61-3.63
Sm 0.3268 0.3477 0.4465  2 Nd 3.37-3.77, 6 Sm 3.44-3.61



2.
Here is a relaxed structure of Pr6NdSm5 from the Alexandria database. Energies are from PBE.

Summary:
ΔE_f in eV per formula unit: 0.15
Magnetic moment in μB/f.u.: 0.0

Lattice parameters (Å, degrees): 5.2070 10.3764 15.5990 90.00 90.00 90.00
Closest atoms and distances in Å follow each position.
Space group Immm (No. 71)
Inequivalent atoms, fractional coordinates:
Pr 0.0000 0.2492 0.0000  6 Sm 3.67-3.68, 4 Pr 3.68, 2 Nd 3.68
Pr 0.0000 0.2505 0.3331  7 Sm 3.66-3.68, 4 Pr 3.68, 1 Nd 3.68
Nd 0.0000 0.0000 0.5000  8 Pr 3.68, 4 Sm 3.68
Sm 0.0000 0.0000 0.1668  8 Pr 3.67, 4 Sm 3.68
Sm 0.0000 0.5000 0.1668  8 Pr 3.66-3.68, 2 Sm 3.68, 2 Nd 3.68
Sm 0.0000 0.5000 0.5000  8 Pr 3.67, 4 Sm 3.68



3.
Here is a relaxed structure of Pr6Nd16Sm7 from the Alexandria database. Energies are from PBE.

Summary:
ΔE_f in eV per formula unit: 5.83
Magnetic moment in μB/f.u.: 0.0

Lattice parameters (Å, degrees): 16.2075 16.2075 16.2075 90.00 90.00 90.00
Closest atoms and distances in Å follow each position.
Space group Fm-3m (No. 225)
Inequivalent atoms, fractional coordinates:
Pr 0.0000 0.0000 0.2275  8 Nd 3.69-3.74, 4 Sm 4.07
Nd 0.1263 0.1263 0.3737  4 Sm 3.50-3.55, 3 Nd 3.64, 3 Pr 3.74
Nd 0.1520 0.1520 0.1520  3 Sm 3.33, 3 Nd 3.64, 3 Pr 3.69
Sm 0.0000 0.0000 0.5000  8 Nd 3.55
Sm 0.0000 0.2500 0.2500  8 Nd 3.33-3.50



4.
Here is a relaxed structure of PrNdSm6 from the Alexandria database. Energies are from PBE.

Summary:
Polymorph energy (0 for the lowest one) in eV/atom: 0.138
ΔE_f in eV per formula unit: 1.24
Magnetic moment in μB/f.u.: 0.0

Lattice parameters (Å, degrees): 9.0859 9.4178 6.6348 90.00 97.84 90.00
Closest atoms and distances in Å follow each position.
Space group C2/m (No. 12)
Inequivalent atoms, fractional coordinates:
Pr 0.0000 0.0000 0.0000  2 Nd 3.32, 6 Sm 3.52-3.56
Nd 0.0000 0.0000 0.5000  2 Pr 3.32, 2 Sm 3.56
Sm 0.1526 0.5000 0.6910  9 Sm 3.46-3.82, 1 Pr 3.52, 1 Nd 3.56
Sm 0.1639 0.3198 0.2091  6 Sm 3.39-3.78, 1 Pr 3.56, 1 Nd 3.78



5.
Here is a relaxed structure of Pr6Nd2Sm from the Alexandria database. Energies are from PBE.

Summary:
Polymorph energy (0 for the lowest one) in eV/atom: 0.528
ΔE_f in eV per formula unit: 5.20
Magnetic moment in μB/f.u.: 0.0

Lattice parameters (Å, degrees): 8.3607 8.3607 10.6916 90.00 90.00 90.00
Closest atoms and distances in Å follow each position.
Space group P4_2/mnm (No. 136)
Inequivalent atoms, fractional coordinates:
Pr 0.2373 0.2373 0.1668  2 Nd 3.11-3.33, 1 Sm 3.32
Pr 0.2382 0.2382 0.5000  1 Sm 3.10, 2 Nd 3.33
Nd 0.0000 0.0000 0.3338  6 Pr 3.11-3.33
Sm 0.0000 0.0000 0.0000  6 Pr 3.10-3.32



6.
Here is a relaxed structure of Pr5Nd3Sm3 from the Alexandria database. Energies are from PBE.

Summary:
Polymorph energy (0 for the lowest one) in eV/atom: 0.000
ΔE_f in eV per formula unit: 3.21
Magnetic moment in μB/f.u.: 0.0

Lattice parameters (Å, degrees): 11.5165 11.5165 3.4988 90.00 90.00 120.00
Closest atoms and distances in Å follow each position.
Space group P-62m (No. 189)
Inequivalent atoms, fractional coordinates:
Pr 0.0000 0.6607 0.0000  2 Sm 3.39, 2 Nd 3.46, 2 Pr 3.50
Pr 0.3333 0.6667 0.0000  5 Pr 3.50-3.81
Nd 0.0000 0.4018 0.5000  2 Sm 3.29, 2 Pr 3.46, 2 Nd 3.50
Sm 0.0000 0.1595 0.0000  4 Sm 3.18-3.50, 2 Nd 3.29, 2 Pr 3.39